An optimized crystal structure of YTiRe2. Source: Alexandria, functional PBE.

abc: 4.621 4.621 4.621
angles: 60.00 60.00 60.00
Fractional coordinates of all 4 atoms:
1 Y 0.000 0.000 0.000
2 Ti 0.500 0.500 0.500
3 Re 0.250 0.250 0.250
4 Re 0.750 0.750 0.750

Computed properties:
ΔE_f: 0.20 eV/atom
density of states at the Fermi level: 1.0086 states/eV per atom
space group: No. 225
VASP energy: -38.442 eV/cell